12
Lattice="3.222 0.000 0.000 0.000 10.285 0.000 0.000 -5.143 8.907" Properties=species:S:1:pos:R:3 comment="PBE TmHf2Sc9, optimized geometry" formation_enthalpy_0k_ev_per_atom=0.03 space_group="No. 191" pbc="T T T"
Tm 0.000 0.000 0.000
Hf 0.000 0.000 5.938
Hf 0.000 5.143 2.969
Sc 0.000 -2.571 4.454
Sc 0.000 2.571 4.454
Sc 0.000 5.143 0.000
Sc 1.611 2.793 1.613
Sc 1.611 -2.349 7.294
Sc 1.611 0.000 3.225
Sc 1.611 5.143 5.682
Sc 1.611 7.492 1.613
Sc 1.611 2.349 7.294



16
Lattice="0.477 5.499 2.812 -9.405 -4.395 -5.730 -1.716 -1.109 9.226" Properties=species:S:1:pos:R:3 comment="PBE Tb5Pm2Er, optimized geometry" formation_enthalpy_0k_ev_per_atom=0.01 space_group="No. 2" pbc="T T T"
Tb -1.604 0.479 8.391
Tb -9.256 -3.649 -0.422
Tb -7.242 -1.034 0.944
Tb -5.474 -0.750 -2.141
Tb -1.654 1.297 2.268
Tb -8.990 -1.302 4.040
Tb -3.402 1.029 5.364
Tb -5.170 0.745 8.449
Tb -9.040 -0.484 -2.083
Tb -1.388 3.644 6.730
Pm -5.215 1.583 2.331
Pm -7.504 -3.356 -3.531
Pm -5.429 -1.588 3.977
Pm -3.141 3.351 9.839
Er -6.978 1.301 5.416
Er -3.666 -1.306 0.892



4
Lattice="-4.309 8.024 0.613 -4.833 6.719 -3.848 2.588 -8.479 2.175" Properties=species:S:1:pos:R:3 comment="PBE BeNiSe2, optimized geometry" energy_ev_per_atom=-4.00 space_group="No. 119" pbc="T T T"
Ni -3.146 3.458 0.585
Se 0.000 0.000 0.000
Se -3.408 2.806 -1.646
Be -4.571 7.371 -1.618